No. 1
Re5Ag: optimized geometry, PBE.

Structure (POSCAR):
```
Re5Ag
1.0
0.000 3.647 3.647
3.647 0.000 3.647
3.647 3.647 0.000
Re Ag
5 1
direct
0.000 0.000 0.000 Re
0.376 0.376 0.376 Re
0.376 0.376 0.873 Re
0.376 0.873 0.376 Re
0.873 0.376 0.376 Re
0.750 0.750 0.750 Ag
```

calculated total energy = -61.59 eV/cell
crystal system = cubic
Fermi-level density of states = 4.15 states/eV/cell

No. 2
Re3Ag5: optimized geometry, PBE.

Structure (POSCAR):
```
Re3Ag5
1.0
8.144 0.000 0.000
-4.072 7.053 0.000
0.000 0.000 4.870
Re Ag
6 10
direct
0.000 0.425 0.250 Re
0.000 0.575 0.750 Re
0.425 0.000 0.250 Re
0.425 0.425 0.750 Re
0.575 0.000 0.750 Re
0.575 0.575 0.250 Re
0.000 0.213 0.750 Ag
0.000 0.787 0.250 Ag
0.213 0.000 0.750 Ag
0.213 0.213 0.250 Ag
0.333 0.667 0.000 Ag
0.333 0.667 0.500 Ag
0.667 0.333 0.000 Ag
0.667 0.333 0.500 Ag
0.787 0.000 0.250 Ag
0.787 0.787 0.750 Ag
```

calculated total energy = -86.12 eV/cell
crystal system = hexagonal
Fermi-level density of states = 17.38 states/eV/cell

No. 3
Re8Ag: optimized geometry, PBE.

Structure (POSCAR):
```
Re8Ag
1.0
-4.163 4.163 1.983
4.163 -4.163 1.983
4.163 4.163 -1.983
Re Ag
8 1
direct
0.000 0.340 0.340 Re
0.000 0.660 0.660 Re
0.326 0.326 0.652 Re
0.326 0.674 0.000 Re
0.340 0.000 0.340 Re
0.660 0.000 0.660 Re
0.674 0.326 0.000 Re
0.674 0.674 0.348 Re
0.000 0.000 0.000 Ag
```

calculated total energy = -100.12 eV/cell
crystal system = tetragonal
Fermi-level density of states = 6.78 states/eV/cell

No. 4
ReAg2Rh: optimized geometry, PBE.

Structure (POSCAR):
```
ReAg2Rh
1.0
-2.034 2.034 3.819
2.034 -2.034 3.819
2.034 2.034 -3.819
Re Ag Rh
1 2 1
direct
0.000 0.000 0.000 Re
0.500 0.500 0.000 Ag
0.750 0.250 0.500 Ag
0.250 0.750 0.500 Rh
```

calculated total energy = -23.01 eV/cell
crystal system = tetragonal
Fermi-level density of states = 4.25 states/eV/cell

No. 5
Re2AgRh: optimized geometry, PBE.

Structure (POSCAR):
```
Re2AgRh
1.0
2.702 -4.158 0.000
2.702 4.158 0.000
0.000 0.000 2.698
Re Ag Rh
2 1 1
direct
0.000 0.500 0.000 Re
0.500 0.000 0.000 Re
0.000 0.000 0.500 Ag
0.500 0.500 0.500 Rh
```

calculated total energy = -33.21 eV/cell
crystal system = orthorhombic
Fermi-level density of states = 3.97 states/eV/cell

No. 6
ReAg2Rh: optimized geometry, PBE.

Structure (POSCAR):
```
ReAg2Rh
1.0
1.405 -2.342 0.000
1.405 2.342 0.000
0.000 0.000 9.810
Re Ag Rh
1 2 1
direct
0.000 0.000 0.000 Re
0.500 0.500 0.254 Ag
0.500 0.500 0.746 Ag
0.000 0.000 0.500 Rh
```

calculated total energy = -23.44 eV/cell
crystal system = orthorhombic
Fermi-level density of states = 4.26 states/eV/cell

No. 7
ReAg4Rh: optimized geometry, PBE.

Structure (POSCAR):
```
ReAg4Rh
1.0
0.000 3.730 3.730
3.730 0.000 3.730
3.730 3.730 0.000
Re Ag Rh
1 4 1
direct
0.000 0.000 0.000 Re
0.125 0.625 0.625 Ag
0.625 0.125 0.625 Ag
0.625 0.625 0.125 Ag
0.625 0.625 0.625 Ag
0.250 0.250 0.250 Rh
```

calculated total energy = -25.93 eV/cell
crystal system = cubic
Fermi-level density of states = 7.43 states/eV/cell

No. 8
ReAg2Rh: optimized geometry, PBE.

Structure (POSCAR):
```
ReAg2Rh
1.0
-3.716 3.716 2.573
3.716 -3.716 2.573
3.716 3.716 -2.573
Re Ag Rh
2 4 2
direct
0.000 0.000 0.000 Re
0.750 0.250 0.500 Re
0.124 0.125 0.499 Ag
0.375 0.876 0.001 Ag
0.626 0.625 0.501 Ag
0.875 0.374 0.999 Ag
0.250 0.750 0.500 Rh
0.500 0.500 0.000 Rh
```

calculated total energy = -41.40 eV/cell
crystal system = tetragonal
Fermi-level density of states = 9.88 states/eV/cell

No. 9
ReAg2Rh: optimized geometry, PBE.

Structure (POSCAR):
```
ReAg2Rh
1.0
-1.404 2.433 4.814
1.404 -2.433 4.814
1.404 2.433 -4.814
Re Ag Rh
1 2 1
direct
0.000 0.000 0.000 Re
0.262 0.762 0.500 Ag
0.528 0.528 0.000 Ag
0.785 0.285 0.500 Rh
```

calculated total energy = -23.27 eV/cell
crystal system = orthorhombic
Fermi-level density of states = 3.20 states/eV/cell

No. 10
Re2AgRh: optimized geometry, PBE.

Structure (POSCAR):
```
Re2AgRh
1.0
0.000 3.137 3.137
3.137 0.000 3.137
3.137 3.137 0.000
Re Ag Rh
2 1 1
direct
0.250 0.250 0.250 Re
0.750 0.750 0.750 Re
0.000 0.000 0.000 Ag
0.500 0.500 0.500 Rh
```

calculated total energy = -31.41 eV/cell
crystal system = cubic
Fermi-level density of states = 6.15 states/eV/cell

No. 11
Re4AgRh: optimized geometry, PBE.

Structure (POSCAR):
```
Re4AgRh
1.0
0.000 3.660 3.660
3.660 0.000 3.660
3.660 3.660 0.000
Re Ag Rh
4 1 1
direct
0.125 0.125 0.125 Re
0.125 0.125 0.625 Re
0.125 0.625 0.125 Re
0.625 0.125 0.125 Re
0.500 0.500 0.500 Ag
0.750 0.750 0.750 Rh
```

calculated total energy = -56.39 eV/cell
crystal system = cubic
Fermi-level density of states = 6.60 states/eV/cell

No. 12
ReAg2Rh: optimized geometry, PBE.

Structure (POSCAR):
```
ReAg2Rh
1.0
4.761 0.000 0.000
0.000 2.760 0.000
-1.622 0.000 4.830
Re Ag Rh
1 2 1
direct
0.000 0.000 0.000 Re
0.000 0.500 0.500 Ag
0.500 0.000 0.500 Ag
0.500 0.500 0.000 Rh
```

calculated total energy = -23.61 eV/cell
crystal system = monoclinic
Fermi-level density of states = 4.26 states/eV/cell

No. 13
Re2AgRh: optimized geometry, PBE.

Structure (POSCAR):
```
Re2AgRh
1.0
-1.900 1.900 4.208
1.900 -1.900 4.208
1.900 1.900 -4.208
Re Ag Rh
2 1 1
direct
0.250 0.750 0.500 Re
0.750 0.250 0.500 Re
0.000 0.000 0.000 Ag
0.500 0.500 0.000 Rh
```

calculated total energy = -33.20 eV/cell
crystal system = tetragonal
Fermi-level density of states = 4.19 states/eV/cell

No. 14
Re2AgRh: optimized geometry, PBE.

Structure (POSCAR):
```
Re2AgRh
1.0
0.000 3.135 3.135
3.135 0.000 3.135
3.135 3.135 0.000
Re Ag Rh
2 1 1
direct
0.000 0.000 0.000 Re
0.250 0.250 0.250 Re
0.500 0.500 0.500 Ag
0.750 0.750 0.750 Rh
```

calculated total energy = -32.99 eV/cell
crystal system = cubic
Fermi-level density of states = 2.53 states/eV/cell

No. 15
ReAg2Rh: optimized geometry, PBE.

Structure (POSCAR):
```
ReAg2Rh
1.0
1.430 -2.337 0.000
1.430 2.337 0.000
0.000 0.000 9.717
Re Ag Rh
1 2 1
direct
0.000 0.000 0.000 Re
0.000 0.000 0.480 Ag
0.500 0.500 0.740 Ag
0.500 0.500 0.223 Rh
```

calculated total energy = -24.25 eV/cell
crystal system = orthorhombic
Fermi-level density of states = 2.56 states/eV/cell

No. 16
ReAg2Rh: optimized geometry, PBE.

Structure (POSCAR):
```
ReAg2Rh
1.0
0.000 3.174 3.174
3.174 0.000 3.174
3.174 3.174 0.000
Re Ag Rh
1 2 1
direct
0.000 0.000 0.000 Re
0.500 0.500 0.500 Ag
0.750 0.750 0.750 Ag
0.250 0.250 0.250 Rh
```

calculated total energy = -22.90 eV/cell
crystal system = cubic
Fermi-level density of states = 0.80 states/eV/cell

No. 17
ReAg3Rh: optimized geometry, PBE.

Structure (POSCAR):
```
ReAg3Rh
1.0
4.957 0.000 0.000
0.000 4.957 0.000
0.000 0.000 4.957
Re Ag Rh
1 3 1
direct
0.000 0.000 0.000 Re
0.000 0.500 0.500 Ag
0.500 0.000 0.500 Ag
0.500 0.500 0.000 Ag
0.500 0.500 0.500 Rh
```

calculated total energy = -18.58 eV/cell
crystal system = cubic
Fermi-level density of states = 3.35 states/eV/cell

No. 18
ReAg2Rh: optimized geometry, PBE.

Structure (POSCAR):
```
ReAg2Rh
1.0
4.847 -1.380 0.000
4.847 1.380 0.000
-0.736 0.000 4.731
Re Ag Rh
1 2 1
direct
0.000 0.000 0.000 Re
0.251 0.251 0.750 Ag
0.749 0.749 0.250 Ag
0.500 0.500 0.500 Rh
```

calculated total energy = -23.57 eV/cell
crystal system = monoclinic
Fermi-level density of states = 4.56 states/eV/cell

No. 19
Re2AgRh: optimized geometry, PBE.

Structure (POSCAR):
```
Re2AgRh
1.0
4.633 -1.350 0.000
4.633 1.350 0.000
-0.785 0.000 4.883
Re Ag Rh
2 1 1
direct
0.000 0.000 0.000 Re
0.247 0.247 0.777 Re
0.757 0.757 0.279 Ag
0.516 0.516 0.524 Rh
```

calculated total energy = -33.69 eV/cell
crystal system = monoclinic
Fermi-level density of states = 3.20 states/eV/cell

No. 20
Re2AgRh: optimized geometry, PBE.

Structure (POSCAR):
```
Re2AgRh
1.0
-1.996 1.996 3.803
1.996 -1.996 3.803
1.996 1.996 -3.803
Re Ag Rh
2 1 1
direct
0.000 0.000 0.000 Re
0.750 0.250 0.500 Re
0.500 0.500 0.000 Ag
0.250 0.750 0.500 Rh
```

calculated total energy = -33.38 eV/cell
crystal system = tetragonal
Fermi-level density of states = 3.03 states/eV/cell

Looking at total magnetic moment for the records above, in order, we have 0.00, 0.00, 0.00, 0.16, 0.00, 0.06, 0.44, 0.33, 0.00, 0.17, 0.00, 0.00, 0.00, 0.00, 0.00, 0.00, 1.04, 0.00, 0.00, 0.00 μB/atom.